Entry 1:
Here is a relaxed structure of CaLa2 from Alexandria via LeMat-Bulk. Energies are from PBE.

Computed properties:
- ρ (Mg/m³) = 4.549
- energy relative to the lowest polymorph listed for this composition (eV per atom) = 0.000
- ΔE_f (kJ/mol of atoms) = 2.6
- SG = No. 164
- V (Å³/atom) = 38.677

```
CaLa2
1.0
3.7691 0.0000 0.0000
-1.8846 3.2642 0.0000
0.0000 0.0000 9.4311
Ca La
1 2
direct
0.0000 0.0000 0.0000 Ca
0.3333 0.6667 0.3447 La
0.6667 0.3333 0.6553 La
```

Entry 2:
Here is a relaxed structure of CaLa11 from Alexandria via LeMat-Bulk. Energies are from PBE.

Computed properties:
- ρ (Mg/m³) = 5.785
- ΔE_f (kJ/mol of atoms) = 2.7
- SG = No. 191
- V (Å³/atom) = 37.510

```
CaLa11
1.0
11.8617 0.0000 0.0000
-5.9309 10.2725 0.0000
0.0000 0.0000 3.6940
Ca La
1 11
direct
0.0000 0.0000 0.0000 Ca
0.0000 0.5000 0.0000 La
0.1749 0.3499 0.5000 La
0.1749 0.8251 0.5000 La
0.3333 0.6667 0.0000 La
0.3499 0.1749 0.5000 La
0.5000 0.0000 0.0000 La
0.5000 0.5000 0.0000 La
0.6501 0.8251 0.5000 La
0.6667 0.3333 0.0000 La
0.8251 0.1749 0.5000 La
0.8251 0.6501 0.5000 La
```

Entry 3:
Here is a relaxed structure of Ca2La from Alexandria via LeMat-Bulk. Energies are from PBE.

Computed properties:
- ρ (Mg/m³) = 2.949
- energy relative to the lowest polymorph listed for this composition (eV per atom) = 0.720
- ΔE_f (kJ/mol of atoms) = 73.5
- SG = No. 205
- V (Å³/atom) = 41.115

```
Ca2La
1.0
7.9018 0.0000 0.0000
0.0000 7.9018 0.0000
0.0000 0.0000 7.9018
Ca La
8 4
direct
0.1349 0.1349 0.1349 Ca
0.1349 0.3651 0.6349 Ca
0.3651 0.6349 0.1349 Ca
0.3651 0.8651 0.6349 Ca
0.6349 0.1349 0.3651 Ca
0.6349 0.3651 0.8651 Ca
0.8651 0.6349 0.3651 Ca
0.8651 0.8651 0.8651 Ca
0.0000 0.0000 0.5000 La
0.0000 0.5000 0.0000 La
0.5000 0.0000 0.0000 La
0.5000 0.5000 0.5000 La
```

Entry 4:
Here is a relaxed structure of Ca3La from Alexandria via LeMat-Bulk. Energies are from PBE.

Computed properties:
- ρ (Mg/m³) = 2.662
- energy relative to the lowest polymorph listed for this composition (eV per atom) = 0.057
- ΔE_f (kJ/mol of atoms) = 6.8
- SG = No. 25
- V (Å³/atom) = 40.407

```
Ca3La
1.0
3.8205 0.0000 0.0000
0.0000 6.2876 0.0000
0.0000 0.0000 6.7284
Ca La
3 1
direct
0.0000 0.0000 0.0000 Ca
0.0000 0.5000 0.3370 Ca
0.5000 0.0000 0.5093 Ca
0.5000 0.5000 0.8365 La
```

Entry 5:
Here is a relaxed structure of CaLa2 from Alexandria via LeMat-Bulk. Energies are from PBE.

Computed properties:
- ρ (Mg/m³) = 4.565
- energy relative to the lowest polymorph listed for this composition (eV per atom) = 0.252
- ΔE_f (kJ/mol of atoms) = 27.0
- SG = No. 140
- V (Å³/atom) = 38.541

```
CaLa2
1.0
-3.9604 3.9604 3.6859
3.9604 -3.9604 3.6859
3.9604 3.9604 -3.6859
Ca La
2 4
direct
0.2500 0.2500 0.0000 Ca
0.7500 0.7500 0.0000 Ca
0.1349 0.6349 0.7698 La
0.3651 0.1349 0.5000 La
0.6349 0.8651 0.5000 La
0.8651 0.3651 0.2302 La
```

Entry 6:
Here is a relaxed structure of Ca2La3 from Alexandria via LeMat-Bulk. Energies are from PBE.

Computed properties:
- ρ (Mg/m³) = 4.239
- energy relative to the lowest polymorph listed for this composition (eV per atom) = 0.000
- ΔE_f (kJ/mol of atoms) = 2.4
- SG = No. 166
- V (Å³/atom) = 38.924

```
Ca2La3
1.0
1.8886 1.0904 15.7513
-1.8886 1.0904 15.7513
0.0000 -2.1808 15.7513
Ca La
2 3
direct
0.2011 0.2011 0.2011 Ca
0.7989 0.7989 0.7989 Ca
0.0000 0.0000 0.0000 La
0.3966 0.3966 0.3966 La
0.6034 0.6034 0.6034 La
```

Entry 7:
Here is a relaxed structure of Ca3La from Alexandria via LeMat-Bulk. Energies are from PBE.

Computed properties:
- ρ (Mg/m³) = 2.624
- energy relative to the lowest polymorph listed for this composition (eV per atom) = 0.163
- ΔE_f (kJ/mol of atoms) = 17.0
- SG = No. 25
- V (Å³/atom) = 41.001

```
Ca3La
1.0
3.5638 0.0000 0.0000
0.0000 3.7285 0.0000
0.0000 0.0000 12.3427
Ca La
3 1
direct
0.0000 0.0000 0.0000 Ca
0.0000 0.5000 0.2664 Ca
0.5000 0.5000 0.7615 Ca
0.5000 0.0000 0.5010 La
```

Entry 8:
Here is a relaxed structure of Ca3La13 from Alexandria via LeMat-Bulk. Energies are from PBE.

Computed properties:
- ρ (Mg/m³) = 5.246
- ΔE_f (kJ/mol of atoms) = 4.1
- SG = No. 38
- V (Å³/atom) = 38.103

```
Ca3La13
1.0
7.5981 0.0000 0.0000
0.0000 6.1149 6.5608
0.0000 -6.1149 6.5608
Ca La
3 13
direct
0.0000 0.0000 0.0000 Ca
0.2511 0.7513 0.7513 Ca
0.7489 0.7513 0.7513 Ca
0.0000 0.4149 0.9240 La
0.0000 0.4899 0.4899 La
0.0000 0.9240 0.4149 La
0.2553 0.1755 0.6667 La
0.2553 0.6667 0.1755 La
0.2602 0.2552 0.2552 La
0.5000 0.0089 0.0089 La
0.5000 0.4071 0.9202 La
0.5000 0.4997 0.4997 La
0.5000 0.9202 0.4071 La
0.7398 0.2552 0.2552 La
0.7447 0.1755 0.6667 La
0.7447 0.6667 0.1755 La
```

Entry 9:
Here is a relaxed structure of Ca3La from Alexandria via LeMat-Bulk. Energies are from PBE.

Computed properties:
- ρ (Mg/m³) = 2.641
- energy relative to the lowest polymorph listed for this composition (eV per atom) = 0.000
- ΔE_f (kJ/mol of atoms) = 1.3
- SG = No. 129
- V (Å³/atom) = 40.735

```
Ca3La
1.0
3.8412 0.0000 0.0000
0.0000 3.8412 0.0000
0.0000 0.0000 22.0871
Ca La
6 2
direct
0.2500 0.2500 0.0638 Ca
0.2500 0.2500 0.3189 Ca
0.2500 0.2500 0.8092 Ca
0.7500 0.7500 0.1908 Ca
0.7500 0.7500 0.6811 Ca
0.7500 0.7500 0.9362 Ca
0.2500 0.2500 0.5544 La
0.7500 0.7500 0.4456 La
```

Entry 10:
Here is a relaxed structure of Ca3La from Alexandria via LeMat-Bulk. Energies are from PBE.

Computed properties:
- ρ (Mg/m³) = 2.680
- energy relative to the lowest polymorph listed for this composition (eV per atom) = 0.060
- ΔE_f (kJ/mol of atoms) = 7.0
- SG = No. 10
- V (Å³/atom) = 40.136

```
Ca3La
1.0
3.6761 0.0000 0.0000
0.0000 6.1352 0.0000
-1.3070 0.0000 7.1184
Ca La
3 1
direct
0.0000 0.0000 0.0000 Ca
0.2262 0.5000 0.7477 Ca
0.7738 0.5000 0.2523 Ca
0.5000 0.0000 0.5000 La
```

Entry 11:
Here is a relaxed structure of CaLa4 from Alexandria via LeMat-Bulk. Energies are from PBE.

Computed properties:
- ρ (Mg/m³) = 4.833
- energy relative to the lowest polymorph listed for this composition (eV per atom) = 0.000
- ΔE_f (kJ/mol of atoms) = 22.6
- SG = No. 14
- V (Å³/atom) = 40.933

```
CaLa4
1.0
9.5082 0.0000 0.0000
0.0000 6.0912 0.0000
-1.3310 0.0000 7.0676
Ca La
2 8
direct
0.0000 0.0000 0.0000 Ca
0.0000 0.5000 0.5000 Ca
0.3365 0.2260 0.7360 La
0.3365 0.2740 0.2360 La
0.3367 0.7265 0.9382 La
0.3367 0.7735 0.4382 La
0.6633 0.2265 0.5618 La
0.6633 0.2735 0.0618 La
0.6635 0.7260 0.7640 La
0.6635 0.7740 0.2640 La
```

Entry 12:
Here is a relaxed structure of CaLa5 from Alexandria via LeMat-Bulk. Energies are from PBE.

Computed properties:
- ρ (Mg/m³) = 5.363
- energy relative to the lowest polymorph listed for this composition (eV per atom) = 0.029
- ΔE_f (kJ/mol of atoms) = 4.7
- SG = No. 38
- V (Å³/atom) = 37.910

```
CaLa5
1.0
6.1394 0.0000 0.0000
0.0000 1.8802 9.8526
0.0000 -1.8802 9.8526
Ca La
1 5
direct
0.0000 0.0000 0.0000 Ca
0.0000 0.3298 0.3298 La
0.0000 0.6765 0.6765 La
0.5000 0.2139 0.2139 La
0.5000 0.5608 0.5608 La
0.5000 0.8868 0.8868 La
```

Question: ρ of number 2 (CaLa11)?
Answer: 5.785 Mg/m³

Question: Look up the ΔE_f of the twelfth one.
Answer: 4.7 kJ/mol of atoms